A) ## NdSmC (PBE-GGA)

Data for crystalline NdSmC at its relaxed geometry.

a b c (Å): 3.658 3.658 6.611
angles (deg): 90.00 90.00 120.00
Sites, in units of the cell vectors:
Nd (0.000, 0.000, 0.000)
Sm (0.333, 0.667, 0.425)
C (0.667, 0.333, 0.219)

Calculated values
DOS at the Fermi energy, states/eV per atom: 0.760

B) ## NdSmC (PBE-GGA)

Data for crystalline NdSmC at its relaxed geometry.

a b c (Å): 6.899 6.899 6.899
angles (deg): 30.90 30.90 30.90
Sites, in units of the cell vectors:
Nd (0.000, 0.000, 0.000)
Sm (0.524, 0.524, 0.524)
C (0.260, 0.260, 0.260)

Calculated values
DOS at the Fermi energy, states/eV per atom: 0.834

Most stable to least stable: B), A)